Record 1
# Sm7Co2Cu2 | Alexandria | PBE | optimized geometry
# Fermi-level density of states ... 22.111 states/eV/cell
# Calculated formation energy ... 0.007 eV/atom
data_Sm7Co2Cu2
_space_group_name_H-M_alt 'C m m m'
_space_group_IT_number 65
_space_group_name_Hall '-C 2 2'
_cell_length_a 7.401
_cell_length_b 11.254
_cell_length_c 6.933
_cell_angle_alpha 90.00
_cell_angle_beta 90.00
_cell_angle_gamma 90.00
loop_
_atom_site_label
_atom_site_type_symbol
_atom_site_fract_x
_atom_site_fract_y
_atom_site_fract_z
_atom_site_occupancy
Sm1 Sm 0.000 0.000 0.000 1
Sm2 Sm 0.000 0.500 0.250 1
Sm3 Sm 0.250 0.250 0.258 1
Co1 Co 0.000 0.306 0.000 1
Cu1 Cu 0.165 0.000 0.500 1



Record 2
# CaScTe2N | Alexandria | PBE | optimized geometry
# Offset from the most stable computed form ... 4.56 eV/f.u.
# Fermi-level density of states ... 6.087 states/eV/cell
data_CaScTe2N
_space_group_name_H-M_alt 'P 4/m m m'
_space_group_IT_number 123
_space_group_name_Hall '-P 4 2'
_cell_length_a 5.769
_cell_length_b 5.769
_cell_length_c 4.163
_cell_angle_alpha 90.00
_cell_angle_beta 90.00
_cell_angle_gamma 90.00
loop_
_atom_site_label
_atom_site_type_symbol
_atom_site_fract_x
_atom_site_fract_y
_atom_site_fract_z
_atom_site_occupancy
Ca1 Ca 0.000 0.000 0.000 1
Sc1 Sc 0.500 0.500 0.500 1
Te1 Te 0.000 0.500 0.000 1
N1 N 0.000 0.000 0.500 1



Record 3
# Cd3BiF | Alexandria | PBE | optimized geometry
# Offset from the most stable computed form ... 1.54 eV/f.u.
# Fermi-level density of states ... 1.067 states/eV/cell
data_Cd3BiF
_space_group_name_H-M_alt 'P m -3 m'
_space_group_IT_number 221
_space_group_name_Hall '-P 4 2 3'
_cell_length_a 5.873
_cell_length_b 5.873
_cell_length_c 5.873
_cell_angle_alpha 90.00
_cell_angle_beta 90.00
_cell_angle_gamma 90.00
loop_
_atom_site_label
_atom_site_type_symbol
_atom_site_fract_x
_atom_site_fract_y
_atom_site_fract_z
_atom_site_occupancy
Cd1 Cd 0.000 0.000 0.500 1
Bi1 Bi 0.000 0.000 0.000 1
F1 F 0.500 0.500 0.500 1



Record 4
# Na3CaSn | Alexandria | PBE | optimized geometry
# Offset from the most stable computed form ... 0.00 eV/f.u.
# Fermi-level density of states ... 2.368 states/eV/cell
# Calculated formation energy ... 0.132 eV/atom
data_Na3CaSn
_space_group_name_H-M_alt 'P m -3 m'
_space_group_IT_number 221
_space_group_name_Hall '-P 4 2 3'
_cell_length_a 5.864
_cell_length_b 5.864
_cell_length_c 5.864
_cell_angle_alpha 90.00
_cell_angle_beta 90.00
_cell_angle_gamma 90.00
loop_
_atom_site_label
_atom_site_type_symbol
_atom_site_fract_x
_atom_site_fract_y
_atom_site_fract_z
_atom_site_occupancy
Na1 Na 0.000 0.000 0.500 1
Ca1 Ca 0.500 0.500 0.500 1
Sn1 Sn 0.000 0.000 0.000 1



Record 5
# LiTh2NbN5 | Alexandria | PBE | optimized geometry
# Fermi-level density of states ... 21.232 states/eV/cell
# Raw total energy ... -310.84 eV/cell
data_LiTh2NbN5
_space_group_name_H-M_alt 'C m c 21'
_space_group_IT_number 36
_cell_length_a 3.377
_cell_length_b 13.633
_cell_length_c 10.229
_cell_angle_alpha 90.00
_cell_angle_beta 90.00
_cell_angle_gamma 90.00
loop_
_space_group_symop_operation_xyz
'x,y,z'
'-x,-y,z+1/2'
'-x,y,z'
'x,-y,z+1/2'
'x+1/2,y+1/2,z'
'-x+1/2,-y+1/2,z+1/2'
'-x+1/2,y+1/2,z'
'x+1/2,-y+1/2,z+1/2'
loop_
_atom_site_label
_atom_site_type_symbol
_atom_site_fract_x
_atom_site_fract_y
_atom_site_fract_z
_atom_site_occupancy
Li1 Li 0.000 0.031 0.000 1
Th1 Th 0.000 0.370 0.836 1
Th2 Th 0.000 0.391 0.212 1
Nb1 Nb 0.000 0.302 0.537 1
N1 N 0.000 0.001 0.303 1
N2 N 0.000 0.142 0.530 1
N3 N 0.000 0.188 0.908 1
N4 N 0.000 0.216 0.187 1
N5 N 0.000 0.439 0.599 1



Record 6
# Tb2U2Se2S5 | Alexandria | PBE | optimized geometry
# Fermi-level density of states ... 26.919 states/eV/cell
# Raw total energy ... -150.20 eV/cell
data_Tb2U2Se2S5
_space_group_name_H-M_alt 'I 4/m m m'
_space_group_IT_number 139
_space_group_name_Hall '-I 4 2'
_cell_length_a 5.259
_cell_length_b 5.259
_cell_length_c 23.771
_cell_angle_alpha 90.00
_cell_angle_beta 90.00
_cell_angle_gamma 90.00
loop_
_atom_site_label
_atom_site_type_symbol
_atom_site_fract_x
_atom_site_fract_y
_atom_site_fract_z
_atom_site_occupancy
Tb1 Tb 0.000 0.000 0.163 1
U1 U 0.000 0.000 0.392 1
Se1 Se 0.000 0.000 0.278 1
S1 S 0.000 0.000 0.500 1
S2 S 0.000 0.500 0.117 1



Record 7
# Zn2NiIr | Alexandria | PBE | optimized geometry
# Fermi-level density of states ... 9.164 states/eV/cell
# Calculated formation energy ... -0.139 eV/atom
data_Zn2NiIr
_space_group_name_H-M_alt 'R 3 m'
_space_group_IT_number 160
_space_group_name_Hall 'R 3 -2"'
_cell_length_a 2.7490
_cell_length_b 2.7490
_cell_length_c 24.6389
_cell_angle_alpha 90.00
_cell_angle_beta 90.00
_cell_angle_gamma 120.00
loop_
_atom_site_label
_atom_site_type_symbol
_atom_site_fract_x
_atom_site_fract_y
_atom_site_fract_z
_atom_site_occupancy
Zn1 Zn 0.0000 0.0000 0.0000 1
Zn2 Zn 0.0000 0.0000 0.1745 1
Ni1 Ni 0.0000 0.0000 0.5872 1
Ir1 Ir 0.0000 0.0000 0.4206 1



Record 8
# MgTcPd2 | Alexandria | PBE | optimized geometry
# Offset from the most stable computed form ... 0.00 eV/f.u.
# Fermi-level density of states ... 10.880 states/eV/cell
# Calculated formation energy ... -0.025 eV/atom
data_MgTcPd2
_space_group_name_H-M_alt 'F m -3 m'
_space_group_IT_number 225
_space_group_name_Hall '-F 4 2 3'
_cell_length_a 6.359
_cell_length_b 6.359
_cell_length_c 6.359
_cell_angle_alpha 90.00
_cell_angle_beta 90.00
_cell_angle_gamma 90.00
loop_
_atom_site_label
_atom_site_type_symbol
_atom_site_fract_x
_atom_site_fract_y
_atom_site_fract_z
_atom_site_occupancy
Mg1 Mg 0.000 0.000 0.000 1
Tc1 Tc 0.000 0.000 0.500 1
Pd1 Pd 0.250 0.250 0.250 1